Entry 1:
AlMo2Ru, relaxed, DFT PBE-GGA; total magnetization = 0.00 μB per cell; uncorrected energy = -35.3 eV/cell; SG = P2/m (10); density of states at the Fermi level = 2.38 states/eV/cell
1.0
-2.307 -3.445 0.561
1.626 -1.380 -1.789
4.305 -2.475 2.512
Ru Al Mo
1 1 2
Direct
0.500 0.250 0.250
0.500 0.750 0.750
0.000 0.009 0.998
0.000 0.491 0.502

Entry 2:
AlMoRu2, relaxed, DFT PBE-GGA; total magnetization = 0.00 μB per cell; uncorrected energy = -33.9 eV/cell; SG = I-4m2 (119); density of states at the Fermi level = 4.28 states/eV/cell
1.0
4.994 0.003 0.000
2.271 4.448 0.000
-3.633 -2.226 2.606
Mo Ru Al
1 2 1
Direct
0.750 0.250 0.500
0.000 0.000 0.000
0.250 0.750 0.500
0.500 0.500 0.000

Entry 3:
AlMoRu2, relaxed, DFT PBE-GGA; total magnetization = 0.00 μB per cell; uncorrected energy = -33.7 eV/cell; SG = R-3m (166); density of states at the Fermi level = 3.59 states/eV/cell
1.0
8.692 0.011 0.006
8.237 2.776 0.006
8.237 1.356 2.422
Al Ru Mo
1 2 1
Direct
0.250 0.250 0.250
0.502 0.502 0.502
0.998 0.998 0.998
0.750 0.750 0.750